1.
# Pr3ScPd12 GGA-PBE relaxed
data_Pr3ScPd12
_chemical_formula_sum 'Pr3 Sc1 Pd12'
_space_group_name_H-M_alt 'P 1'
_space_group_IT_number 1
_cell_length_a 4.177
_cell_length_b 4.177
_cell_length_c 16.636
_cell_angle_alpha 90.00
_cell_angle_beta 90.00
_cell_angle_gamma 90.00
loop_
_space_group_symop_operation_xyz
'x,y,z'
loop_
_atom_site_label
_atom_site_type_symbol
_atom_site_fract_x
_atom_site_fract_y
_atom_site_fract_z
_atom_site_occupancy
Pd1 Pd 0.500 0.000 0.372 1
Pd2 Pd 0.000 0.500 0.887 1
Pd3 Pd 0.500 0.500 0.243 1
Pd4 Pd 0.500 0.000 0.113 1
Pd5 Pd 0.000 0.500 0.372 1
Pd6 Pd 0.500 0.500 0.757 1
Pd7 Pd 0.500 0.500 0.500 1
Pd8 Pd 0.000 0.500 0.113 1
Pd9 Pd 0.500 0.000 0.628 1
Pd10 Pd 0.000 0.500 0.628 1
Pd11 Pd 0.500 0.500 0.000 1
Pd12 Pd 0.500 0.000 0.887 1
Sc1 Sc 0.000 0.000 0.000 1
Pr1 Pr 0.000 0.000 0.500 1
Pr2 Pr 0.000 0.000 0.242 1
Pr3 Pr 0.000 0.000 0.758 1
# Formation enthalpy at 0 K   -0.76 eV/atom
# Electronic total energy   -5.945 eV per atom



2.
# NaLiCr2Cd GGA-PBE relaxed
data_NaLiCr2Cd
_chemical_formula_sum 'Na1 Li1 Cr2 Cd1'
_space_group_name_H-M_alt 'P 1'
_space_group_IT_number 1
_cell_length_a 4.797
_cell_length_b 4.797
_cell_length_c 4.796
_cell_angle_alpha 90.00
_cell_angle_beta 90.00
_cell_angle_gamma 90.00
loop_
_space_group_symop_operation_xyz
'x,y,z'
loop_
_atom_site_label
_atom_site_type_symbol
_atom_site_fract_x
_atom_site_fract_y
_atom_site_fract_z
_atom_site_occupancy
Cd1 Cd 0.500 0.500 0.500 1
Li1 Li 0.000 0.000 0.000 1
Cr1 Cr 0.000 0.500 0.000 1
Cr2 Cr 0.500 0.000 0.000 1
Na1 Na 0.000 0.000 0.500 1
# Formation enthalpy at 0 K   1.01 eV/atom
# Electronic total energy   -3.672 eV per atom



3.
# MgNi2Cl GGA-PBE relaxed
data_MgNi2Cl
_chemical_formula_sum 'Mg1 Ni2 Cl1'
_space_group_name_H-M_alt 'P 1'
_space_group_IT_number 1
_cell_length_a 4.616
_cell_length_b 4.616
_cell_length_c 2.942
_cell_angle_alpha 90.00
_cell_angle_beta 90.00
_cell_angle_gamma 111.49
loop_
_space_group_symop_operation_xyz
'x,y,z'
loop_
_atom_site_label
_atom_site_type_symbol
_atom_site_fract_x
_atom_site_fract_y
_atom_site_fract_z
_atom_site_occupancy
Mg1 Mg 0.000 0.500 0.500 1
Ni1 Ni 0.500 0.500 0.000 1
Ni2 Ni 0.000 0.000 0.000 1
Cl1 Cl 0.500 0.000 0.500 1
# Electronic total energy   -3.470 eV per atom
# Energy relative to the elements, uncorrected   0.281 eV/atom



4.
# K3Pt2Pb7 GGA-PBE relaxed
data_K3Pt2Pb7
_chemical_formula_sum 'K3 Pt2 Pb7'
_space_group_name_H-M_alt 'P 1'
_space_group_IT_number 1
_cell_length_a 5.011
_cell_length_b 6.385
_cell_length_c 12.609
_cell_angle_alpha 101.15
_cell_angle_beta 90.00
_cell_angle_gamma 90.00
loop_
_space_group_symop_operation_xyz
'x,y,z'
loop_
_atom_site_label
_atom_site_type_symbol
_atom_site_fract_x
_atom_site_fract_y
_atom_site_fract_z
_atom_site_occupancy
Pb1 Pb 0.000 0.000 0.000 1
Pb2 Pb 0.000 0.582 0.795 1
Pb3 Pb 0.000 0.418 0.205 1
Pb4 Pb 0.000 0.137 0.389 1
Pb5 Pb 0.500 0.058 0.197 1
Pb6 Pb 0.500 0.942 0.803 1
Pb7 Pb 0.000 0.863 0.611 1
K1 K 0.500 0.321 0.613 1
K2 K 0.500 0.500 0.000 1
K3 K 0.500 0.679 0.387 1
Pt1 Pt 0.000 0.838 0.196 1
Pt2 Pt 0.000 0.162 0.804 1
# Formation enthalpy at 0 K   -0.14 eV/atom
# Electronic total energy   -3.580 eV per atom



5.
# K4Br2Cl GGA-PBE relaxed
data_K4Br2Cl
_chemical_formula_sum 'K4 Br2 Cl1'
_space_group_name_H-M_alt 'P 1'
_space_group_IT_number 1
_cell_length_a 4.642
_cell_length_b 4.642
_cell_length_c 15.805
_cell_angle_alpha 81.55
_cell_angle_beta 81.55
_cell_angle_gamma 60.00
loop_
_space_group_symop_operation_xyz
'x,y,z'
loop_
_atom_site_label
_atom_site_type_symbol
_atom_site_fract_x
_atom_site_fract_y
_atom_site_fract_z
_atom_site_occupancy
K1 K 0.628 0.628 0.115 1
K2 K 0.876 0.876 0.371 1
K3 K 0.124 0.124 0.629 1
K4 K 0.372 0.372 0.885 1
Cl1 Cl 0.000 0.000 0.000 1
Br1 Br 0.747 0.747 0.758 1
Br2 Br 0.253 0.253 0.242 1
# Electronic total energy   -2.902 eV per atom
# Energy relative to the elements, uncorrected   -1.533 eV/atom



6.
# Te2RhW GGA-PBE relaxed
data_Te2RhW
_chemical_formula_sum 'Te2 Rh1 W1'
_space_group_name_H-M_alt 'P 1'
_space_group_IT_number 1
_cell_length_a 5.608
_cell_length_b 5.608
_cell_length_c 5.608
_cell_angle_alpha 138.04
_cell_angle_beta 138.04
_cell_angle_gamma 60.84
loop_
_space_group_symop_operation_xyz
'x,y,z'
loop_
_atom_site_label
_atom_site_type_symbol
_atom_site_fract_x
_atom_site_fract_y
_atom_site_fract_z
_atom_site_occupancy
W1 W 0.500 0.500 0.000 1
Te1 Te 0.000 0.000 0.000 1
Te2 Te 0.250 0.750 0.500 1
Rh1 Rh 0.750 0.250 0.500 1
# Electronic total energy   -5.956 eV per atom
# Energy relative to the elements, uncorrected   0.691 eV/atom